No. 1
VASP calculation (PBE) on crystalline BaZr2Co at its relaxed geometry.

Structure (POSCAR):
```
BaZr2Co
1.0
6.925 0.000 0.000
0.000 6.925 0.000
3.462 3.462 6.094
Co Ba Zr
2 2 4
Cartesian
3.462 3.462 0.000 Co
3.462 6.925 3.047 Co
0.000 0.000 0.000 Ba
6.925 3.462 3.047 Ba
3.462 1.731 1.523 Zr
3.463 5.194 1.523 Zr
5.194 6.925 4.570 Zr
8.656 6.925 4.570 Zr
```

crystal system	tetragonal
ΔE to the lowest computed polymorph	694	meV/atom
spin magnetization	0.00	μB/atom
E_form	0.855	eV/atom

No. 2
VASP calculation (PBE) on crystalline GaPN2 at its relaxed geometry.

Structure (POSCAR):
```
GaPN2
1.0
1.562 0.000 6.188
-0.781 1.352 6.188
-0.781 -1.352 6.188
P Ga N
1 1 2
Cartesian
0.000 0.000 9.282 P
0.000 0.000 0.000 Ga
0.000 0.000 16.412 N
0.000 0.000 2.151 N
```

crystal system	trigonal
ΔE to the lowest computed polymorph	0	meV/atom
spin magnetization	0.00	μB/atom
formation energy from raw total energies	-7.7	kJ/mol of atoms

What did we get for total energy? Answer: -5.676, -6.352 eV/atom, in the order shown.